Entry 1
Material: Tb8NdSm2
Method: DFT, PBE-GGA
State: relaxed

Output
D(E_F) = 1.625 states/eV per atom
Total magnetic moment = 0.00 μB/f.u.
Volume = 374.76 Å³/f.u.

Lattice parameters (Å, degrees): 19.0925 7.0320 5.5902 90.00 92.97 90.00
With the nearest neighbours (Å) after each atom.
Space group C2/m (No. 12)
Inequivalent atoms, fractional coordinates:
1 Tb 0.0458 0.0000 0.2377  1 Tb 3.10, 1 Sm 3.24
2 Tb 0.1313 0.2332 0.7329  4 Tb 3.28-3.58, 3 Sm 3.47-3.64, 1 Nd 3.53
3 Tb 0.1873 0.5000 0.2330  4 Sm 3.34-3.56, 4 Tb 3.49-3.58
4 Nd 0.0000 0.5000 0.0000  10 Tb 3.53-3.84
5 Sm 0.2157 0.0000 0.2528  9 Tb 3.24-3.60

***

Entry 2
Material: Tb8NdSm2
Method: DFT, PBE-GGA
State: relaxed

Output
D(E_F) = 1.366 states/eV per atom
Total magnetic moment = 0.00 μB/f.u.
Volume = 364.28 Å³/f.u.

Lattice parameters (Å, degrees): 5.5619 8.1794 16.0149 90.00 90.00 90.00
With the nearest neighbours (Å) after each atom.
Space group Immm (No. 71)
Inequivalent atoms, fractional coordinates:
1 Tb 0.0000 0.0000 0.1615  8 Tb 3.54-3.69, 2 Sm 3.56, 2 Nd 3.80
2 Tb 0.0000 0.2064 0.3616  1 Nd 3.27, 4 Tb 3.38-3.62, 3 Sm 3.40-3.53
3 Tb 0.0000 0.2947 0.0000  7 Tb 3.36-3.56, 2 Sm 3.62, 2 Nd 3.68
4 Nd 0.0000 0.5000 0.5000  4 Tb 3.27
5 Sm 0.0000 0.5000 0.2001  10 Tb 3.40-3.62

***

Most stable structure: entry 2

***

Entry 1
Material: Tb5Nd3Sm4
Method: DFT, PBE-GGA
State: relaxed

Output
D(E_F) = 1.605 states/eV per atom
Total magnetic moment = 0.10 μB/f.u.
Volume = 408.82 Å³/f.u.

Lattice parameters (Å, degrees): 16.1853 5.9949 9.3764 90.00 116.01 90.00
With the nearest neighbours (Å) after each atom.
Space group C2/m (No. 12)
Inequivalent atoms, fractional coordinates:
1 Tb 0.0000 0.0000 0.0000  4 Nd 3.00-3.11
2 Tb 0.0728 0.5000 0.6972  2 Nd 3.30-3.52, 2 Tb 3.40-3.69, 2 Sm 3.68
3 Tb 0.1724 0.5000 0.3891  4 Nd 3.23-3.51, 3 Sm 3.46-3.57
4 Nd 0.0000 0.5000 0.0000  2 Tb 3.00
5 Nd 0.2085 0.0000 0.2298  3 Tb 3.11-3.30, 2 Sm 3.30-3.42
6 Sm 0.0828 0.0000 0.4429  2 Sm 3.29-3.68, 1 Nd 3.42, 3 Tb 3.46-3.57
7 Sm 0.2103 0.0000 0.8787  3 Nd 3.30-3.59, 3 Sm 3.64-3.68, 2 Tb 3.68

***

Entry 2
Material: Tb5Nd3Sm4
Method: DFT, PBE-GGA
State: relaxed

Output
D(E_F) = 1.331 states/eV per atom
Total magnetic moment = 0.00 μB/f.u.
Volume = 399.95 Å³/f.u.

Lattice parameters (Å, degrees): 6.2560 7.2247 8.8490 90.04 90.09 90.14
With the nearest neighbours (Å) after each atom.
Space group P-1 (No. 2)
Inequivalent atoms, fractional coordinates:
1 Tb 0.0000 0.0000 0.0000  4 Sm 3.59-3.61, 4 Tb 3.61, 4 Nd 3.61
2 Tb 0.3346 0.4997 0.3320  4 Nd 3.60-3.63, 5 Sm 3.60-3.63, 3 Tb 3.60-3.62
3 Tb 0.4994 0.7500 0.9998  3 Sm 3.60, 6 Tb 3.60-3.61, 3 Nd 3.60-3.62
4 Nd 0.0000 0.5000 0.0000  8 Tb 3.60-3.62, 2 Nd 3.61, 2 Sm 3.61
5 Nd 0.1673 0.2503 0.6671  5 Tb 3.60-3.63, 6 Sm 3.61-3.63, 1 Nd 3.61
6 Sm 0.1680 0.7501 0.6673  5 Tb 3.60-3.63, 3 Sm 3.60-3.63, 4 Nd 3.61-3.62
7 Sm 0.3326 0.0000 0.3316  5 Tb 3.59-3.62, 4 Sm 3.60-3.64, 3 Nd 3.61-3.63

***

Most stable structure: entry 2

***

Entry 1
Material: Tb4Nd3Sm5
Method: DFT, PBE-GGA
State: relaxed

Output
D(E_F) = 1.335 states/eV per atom
Total magnetic moment = 0.00 μB/f.u.
Volume = 401.99 Å³/f.u.

Lattice parameters (Å, degrees): 6.2701 7.2330 8.8638 90.04 90.09 90.09
With the nearest neighbours (Å) after each atom.
Space group P-1 (No. 2)
Inequivalent atoms, fractional coordinates:
1 Tb 0.1663 0.9998 0.1658  3 Nd 3.60-3.62, 4 Tb 3.60-3.62, 5 Sm 3.62
2 Tb 0.3324 0.2484 0.8341  4 Nd 3.59-3.64, 3 Tb 3.60-3.62, 5 Sm 3.61-3.63
3 Nd 0.3338 0.7515 0.8346  6 Tb 3.59-3.64, 5 Sm 3.61-3.63, 1 Nd 3.63
4 Nd 0.5000 0.5000 0.5000  8 Sm 3.62-3.63, 2 Nd 3.63, 2 Tb 3.63
5 Sm 0.0010 0.2484 0.5002  6 Sm 3.59-3.64, 3 Tb 3.61-3.62, 3 Nd 3.62-3.63
6 Sm 0.1663 0.5000 0.1659  3 Sm 3.60-3.63, 4 Nd 3.61-3.63, 5 Tb 3.61-3.63
7 Sm 0.5000 0.0000 0.5000  4 Sm 3.61-3.62, 4 Nd 3.62, 4 Tb 3.62

***

Entry 2
Material: Tb4Nd3Sm5
Method: DFT, PBE-GGA
State: relaxed

Output
D(E_F) = 1.622 states/eV per atom
Total magnetic moment = 0.00 μB/f.u.
Volume = 409.99 Å³/f.u.

Lattice parameters (Å, degrees): 16.2367 6.0051 9.3623 90.00 116.07 90.00
With the nearest neighbours (Å) after each atom.
Space group C2/m (No. 12)
Inequivalent atoms, fractional coordinates:
1 Tb 0.0819 0.0000 0.4418  2 Tb 3.29-3.67, 1 Nd 3.44, 3 Sm 3.48-3.58
2 Tb 0.2113 0.0000 0.8770  3 Nd 3.31-3.58, 3 Tb 3.65-3.67, 2 Sm 3.67
3 Nd 0.0000 0.5000 0.0000  2 Sm 3.00
4 Nd 0.2080 0.0000 0.2279  3 Sm 3.10-3.28, 2 Tb 3.31-3.44
5 Sm 0.0000 0.0000 0.0000  4 Nd 3.00-3.10
6 Sm 0.0749 0.5000 0.6983  2 Nd 3.28-3.53, 1 Sm 3.43, 2 Tb 3.67
7 Sm 0.1730 0.5000 0.3879  4 Nd 3.25-3.51, 3 Tb 3.48-3.58

***

Most stable structure: entry 1

***

Entry 1
Material: TbNd6Sm4
Method: DFT, PBE-GGA
State: relaxed

Output
D(E_F) = 1.248 states/eV per atom
Total magnetic moment = 0.00 μB/f.u.
Volume = 397.49 Å³/f.u.

Lattice parameters (Å, degrees): 7.6020 7.6020 13.7560 90.00 90.00 90.00
With the nearest neighbours (Å) after each atom.
Space group I-42m (No. 121)
Inequivalent atoms, fractional coordinates:
1 Tb 0.0000 0.0000 0.0000  8 Nd 3.53-3.80, 4 Sm 3.73
2 Nd 0.0000 0.5000 0.0000  4 Sm 3.04
3 Nd 0.2241 0.2241 0.1877  1 Sm 3.23, 1 Tb 3.53
4 Sm 0.1694 0.1694 0.4184  3 Nd 3.04-3.23

***

Entry 2
Material: TbNd6Sm4
Method: DFT, PBE-GGA
State: relaxed

Output
D(E_F) = 1.665 states/eV per atom
Total magnetic moment = 0.00 μB/f.u.
Volume = 390.66 Å³/f.u.

Lattice parameters (Å, degrees): 6.6750 6.6750 17.5361 90.00 90.00 90.00
With the nearest neighbours (Å) after each atom.
Space group I-42m (No. 121)
Inequivalent atoms, fractional coordinates:
1 Tb 0.0000 0.0000 0.0000  4 Nd 3.34, 4 Sm 3.57
2 Nd 0.0000 0.5000 0.0000  2 Tb 3.34, 4 Nd 3.36
3 Nd 0.1785 0.1785 0.3693  3 Nd 3.36-3.37, 5 Sm 3.38-3.61
4 Sm 0.1881 0.1881 0.1768  5 Nd 3.38-3.61, 1 Sm 3.55, 1 Tb 3.57

***

Most stable structure: entry 2

***

Entry 1
Material: TbNd6Sm8
Method: DFT, PBE-GGA
State: relaxed

Output
D(E_F) = 1.460 states/eV per atom
Total magnetic moment = 0.00 μB/f.u.
Volume = 525.54 Å³/f.u.

Lattice parameters (Å, degrees): 9.5527 9.5527 6.6501 90.00 90.00 120.00
With the nearest neighbours (Å) after each atom.
Space group P-3 (No. 147)
Inequivalent atoms, fractional coordinates:
1 Tb 0.0000 0.0000 0.0000  6 Sm 3.38
2 Nd 0.0849 0.4344 0.8362  1 Nd 3.31, 4 Sm 3.34-3.60
3 Sm 0.0296 0.2795 0.3347  4 Nd 3.34-3.60, 3 Sm 3.36-3.39, 1 Tb 3.38
4 Sm 0.3333 0.6667 0.3855  3 Sm 3.39, 3 Nd 3.78

***

Entry 2
Material: TbNd6Sm8
Method: DFT, PBE-GGA
State: relaxed

Output
D(E_F) = 1.439 states/eV per atom
Total magnetic moment = 0.00 μB/f.u.
Volume = 520.41 Å³/f.u.

Lattice parameters (Å, degrees): 9.2580 9.2580 21.0330 90.00 90.00 120.00
With the nearest neighbours (Å) after each atom.
Space group R-3 (No. 148, hexagonal axes)
Inequivalent atoms, fractional coordinates:
1 Tb 0.0000 0.0000 0.0000  6 Nd 3.53, 6 Sm 3.58
2 Nd 0.0557 0.8086 0.7084  4 Sm 3.44-3.82, 1 Tb 3.53, 4 Nd 3.60-3.85
3 Sm 0.0000 0.0000 0.4228  4 Sm 3.25-3.49, 3 Nd 3.45
4 Sm 0.0807 0.5246 0.8067  3 Nd 3.44-3.82, 5 Sm 3.49-3.52, 1 Tb 3.58

***

Most stable structure: entry 2

***

Entry 1
Material: Tb2Nd2Sm5
Method: DFT, PBE-GGA
State: relaxed

Output
D(E_F) = 1.525 states/eV per atom
Total magnetic moment = 0.00 μB/f.u.
Volume = 307.01 Å³/f.u.

Lattice parameters (Å, degrees): 15.0143 11.9614 6.8379 90.00 90.00 90.00
With the nearest neighbours (Å) after each atom.
Space group Ima2 (No. 46)
Inequivalent atoms, fractional coordinates:
1 Tb 0.0000 0.0000 0.0000  4 Sm 3.33-3.68, 2 Nd 3.73
2 Tb 0.2500 0.0082 0.9285  4 Sm 3.45-3.66, 2 Nd 3.65, 2 Tb 3.79
3 Nd 0.1265 0.0025 0.4686  4 Sm 3.37-3.61, 2 Tb 3.65-3.73, 1 Nd 3.71
4 Sm 0.0526 0.7504 0.3207  4 Sm 3.18-3.42, 1 Tb 3.33, 1 Nd 3.37
5 Sm 0.1432 0.2347 0.1466  4 Sm 3.18-3.44, 2 Nd 3.38-3.55, 1 Tb 3.48
6 Sm 0.2500 0.7419 0.1205  6 Sm 3.27-3.61, 2 Tb 3.45-3.66, 2 Nd 3.61

***

Entry 2
Material: Tb2Nd2Sm5
Method: DFT, PBE-GGA
State: relaxed

Output
D(E_F) = 1.539 states/eV per atom
Total magnetic moment = 0.00 μB/f.u.
Volume = 306.76 Å³/f.u.

Lattice parameters (Å, degrees): 19.4851 3.5514 8.9726 90.00 98.84 90.00
With the nearest neighbours (Å) after each atom.
Space group C2/m (No. 12)
Inequivalent atoms, fractional coordinates:
1 Tb 0.1763 0.0000 0.0166  5 Sm 3.41-3.59, 4 Tb 3.43-3.55, 2 Nd 3.75
2 Nd 0.0693 0.5000 0.6924  2 Nd 3.55, 8 Sm 3.63-3.72, 2 Tb 3.75
3 Sm 0.0000 0.0000 0.0000  2 Tb 3.41, 4 Sm 3.48-3.55, 4 Nd 3.71
4 Sm 0.1002 0.0000 0.3560  6 Sm 3.48-3.71, 1 Tb 3.59, 4 Nd 3.63-3.72
5 Sm 0.2343 0.0000 0.6674  3 Tb 3.49-3.56, 7 Sm 3.52-3.71, 2 Nd 3.71

***

Most stable structure: entry 2